Entry a
Here is a geometry-optimized NiPBrO2 structure from the Alexandria database. Energies are from GGA+U.

Calculated values
* DOS(E_F): 0.88 states/eV/atom

Unit cell a=3.7348 b=3.7348 c=5.0411 alpha=90.00 beta=90.00 gamma=90.00
Last column: nearest neighbours and their distance in Å.
Space group P4/mmm (No. 123)
One atom of each set of equivalent atoms:
Ni 0.0000 0.0000 0.0000 x1  4 O 1.87
P 0.0000 0.0000 0.5000 x1  2 Ni 2.52, 4 Br 2.64
Br 0.5000 0.5000 0.5000 x1  4 P 2.64
O 0.0000 0.5000 0.0000 x2  2 Ni 1.87

=====

Entry b
Here is a geometry-optimized NiPBrO2 structure from the Alexandria database. Energies are from GGA+U.

Calculated values
* DOS(E_F): 0.32 states/eV/atom

Unit cell a=3.7601 b=3.7601 c=5.2933 alpha=90.00 beta=90.00 gamma=90.00
Last column: nearest neighbours and their distance in Å.
Space group P4/mmm (No. 123)
One atom of each set of equivalent atoms:
Ni 0.0000 0.0000 0.0000 x1  4 P 2.66
P 0.5000 0.5000 0.0000 x1  2 Br 2.65, 4 Ni 2.66
Br 0.5000 0.5000 0.5000 x1  4 O 1.88
O 0.0000 0.5000 0.5000 x2  2 Br 1.88

=====

Most stable structure among those shown: entry a. Next: +0.472 eV/atom.